(1)
Here is a geometry-optimized Ba2GaAsPb structure from the Alexandria database. Energies are from GGA-PBE.

```
Ba2GaAsPb
1.0
4.7402 0.0000 0.0000
0.0000 8.0317 0.1639
0.0000 -3.2601 9.7946
As Ba Pb Ga
2 4 2 2
direct
0.2500 0.8309 0.8253
0.7500 0.1691 0.1747
0.7500 0.7614 0.0270
0.7500 0.7942 0.6004
0.2500 0.2058 0.3996
0.2500 0.2386 0.9730
0.2500 0.6852 0.3006
0.7500 0.3148 0.6994
0.7500 0.4847 0.2600
0.2500 0.5153 0.7400
```

Summary:
Formation energy in meV/atom: -718

---

(2)
Here is a geometry-optimized Ba2GaAs3Pd4 structure from the Alexandria database. Energies are from GGA-PBE.

```
Ba2GaAs3Pd4
1.0
4.5473 0.0000 0.0000
0.0000 4.5473 0.0000
0.0000 0.0000 10.4141
As Pd Ba Ga
3 4 2 1
direct
0.5000 0.0000 0.8758
0.0000 0.0000 0.5000
0.0000 0.5000 0.1242
0.0000 0.0000 0.0000
0.5000 0.5000 0.0000
0.5000 0.0000 0.6230
0.0000 0.5000 0.3770
0.0000 0.5000 0.7514
0.5000 0.0000 0.2486
0.5000 0.5000 0.5000
```

Summary:
Formation energy in meV/atom: -749

---

(3)
Here is a geometry-optimized Ba2GaAsPt6 structure from the Alexandria database. Energies are from GGA-PBE.

```
Ba2GaAsPt6
1.0
-3.4050 -1.7495 -5.5870
1.3261 -6.6308 1.2469
-5.0926 -4.6547 0.4193
Pt Ba Ga As
6 2 1 1
direct
0.2520 0.1504 0.4953
0.8491 0.7479 0.8977
0.7482 0.2539 0.1031
0.1509 0.2521 0.1023
0.2518 0.7461 0.8969
0.7480 0.8496 0.5047
0.2904 0.7095 0.4196
0.7096 0.2905 0.5804
0.0000 0.0000 0.0000
0.5000 0.5000 0.0000
```

Summary:
Formation energy in meV/atom: -682